No. 1
10
Lattice="0.000 4.822 6.845 2.950 0.000 6.845 2.950 4.822 0.000" Properties=species:S:1:pos:R:3 comment="GGA-PBE Mn3Pb2, optimized geometry" spacegroup="Fdd2 (43)" e_form_ev_per_atom=0.463 dos_ef_per_ev_atom=0.826 pbc="T T T"
Mn 1.449 2.411 3.422
Mn 3.740 7.821 8.853
Mn 2.265 5.410 8.258
Mn 2.265 4.235 5.431
Mn 3.740 6.646 11.680
Mn 5.873 4.822 6.845
Pb 3.648 6.714 6.141
Pb 3.648 2.931 7.548
Pb 2.173 5.343 2.718
Pb 2.173 4.302 10.971



No. 2
18
Lattice="-7.243 2.379 0.893 -0.843 -5.027 6.556 6.856 7.867 1.654" Properties=species:S:1:pos:R:3 comment="GGA-PBE Er5Bi2Pb2, optimized geometry" spacegroup="Ima2 (46)" e_form_ev_per_atom=-0.362 dos_ef_per_ev_atom=0.531 pbc="T T T"
Pb -4.010 -1.128 3.469
Pb 0.991 2.496 3.850
Pb -2.511 0.994 7.509
Pb -0.810 -4.831 6.301
Er -3.611 5.013 3.195
Er 4.755 6.314 2.624
Er -0.031 3.082 0.852
Er -5.532 1.609 2.953
Er -2.029 1.087 4.324
Er -5.377 -1.094 6.161
Er -0.958 3.578 6.372
Er 3.757 3.990 5.974
Er 2.410 0.382 5.679
Er 1.040 5.574 2.900
Bi -1.107 6.262 4.896
Bi 1.559 2.734 7.793
Bi -2.828 2.259 1.605
Bi -0.161 -1.269 4.502



No. 3
14
Lattice="7.337 0.430 4.904 2.842 6.778 4.904 0.607 0.430 8.804" Properties=species:S:1:pos:R:3 comment="GGA-PBE Cd3InPb3, optimized geometry" spacegroup="R-3 (148)" e_form_ev_per_atom=0.074 dos_ef_per_ev_atom=0.507 pbc="T T T"
Cd 6.528 1.326 10.248
Cd 4.257 6.311 8.365
Cd 7.191 5.717 8.062
Cd 3.595 1.920 10.551
Cd 7.660 2.753 7.854
Cd 3.125 4.884 10.760
Pb 8.501 3.651 13.432
Pb 5.910 5.792 14.054
Pb 2.248 0.831 6.497
Pb 4.875 1.845 4.559
Pb 2.285 3.986 5.181
Pb 8.537 6.806 12.116
In 4.548 3.220 7.849
In 6.238 4.417 10.765



No. 4
4
Lattice="-3.718 -3.355 0.515 1.081 -4.851 0.799 -0.913 -2.075 4.495" Properties=species:S:1:pos:R:3 comment="GGA-PBE PmZrGaAu, optimized geometry" spacegroup="F-43m (216)" e_form_ev_per_atom=-0.455 dos_ef_per_ev_atom=0.687 pbc="T T T"
Zr -1.775 -5.141 2.904
Au -2.663 -7.711 4.356
Pm 0.000 0.000 0.000
Ga -0.888 -2.570 1.452



No. 5
18
Lattice="7.635 0.000 0.000 -3.818 6.612 0.000 0.000 0.000 14.588" Properties=species:S:1:pos:R:3 comment="GGA-PBE NaLiUI6, optimized geometry" spacegroup="P-31c (163)" dos_ef_per_ev_atom=0.501 pbc="T T T"
Li 3.818 2.204 3.647
Li 0.000 4.408 10.941
I 2.481 4.279 9.198
I 2.465 4.288 1.904
I 1.353 2.324 12.683
I -1.336 2.333 1.904
I -2.465 4.288 5.390
I 2.689 0.010 9.198
I 6.282 2.324 9.198
I -1.129 6.603 1.904
I 1.336 2.333 5.390
I 4.946 0.010 12.683
I 1.129 6.603 5.390
I 5.154 4.279 12.683
U 3.818 2.204 10.941
U 0.000 4.408 3.647
Na 0.000 0.000 7.294
Na 0.000 0.000 0.000



No. 6
5
Lattice="4.178 0.000 0.000 0.000 4.178 0.000 0.000 0.000 3.525" Properties=species:S:1:pos:R:3 comment="GGA-PBE Mn2HPdRh, optimized geometry" spacegroup="P4/mmm (123)" dos_ef_per_ev_atom=0.487 pbc="T T T"
Mn 0.000 2.089 0.000
Mn 2.089 0.000 0.000
Rh 2.089 2.089 1.762
H 0.000 0.000 0.000
Pd 0.000 0.000 1.762



No. 7
3
Lattice="4.665 0.000 0.000 2.333 4.040 0.000 2.333 1.347 3.809" Properties=species:S:1:pos:R:3 comment="GGA-PBE TbMgSi, optimized geometry" spacegroup="F-43m (216)" dos_ef_per_ev_atom=0.470 pbc="T T T"
Mg 4.665 2.694 1.905
Si 2.333 1.347 0.952
Tb 0.000 0.000 0.000



No. 8
80
Lattice="12.542 0.000 0.000 -4.181 11.825 0.000 -4.181 -5.912 10.241" Properties=species:S:1:pos:R:3 comment="GGA-PBE Pr3Cd5F12, optimized geometry" spacegroup="Ia-3d (230)" dos_ef_per_ev_atom=0.276 pbc="T T T"
Cd -1.045 9.608 1.280
Cd 4.181 5.912 0.000
Cd 5.226 2.956 7.681
Cd 4.181 -2.956 5.120
Cd 2.090 2.956 5.120
Cd -4.181 2.956 5.120
Cd -2.090 5.912 0.000
Cd 5.226 5.173 3.840
Cd 0.000 0.000 0.000
Cd 5.226 -3.695 8.961
Cd -2.090 -2.956 5.120
Cd -1.045 0.739 6.400
Cd 3.136 2.217 1.280
Cd 6.271 0.000 0.000
Cd -1.045 2.956 2.560
Cd 3.136 8.869 2.560
Cd 1.045 3.695 8.961
Cd 1.045 -2.956 7.681
Cd -3.136 6.652 3.840
Cd 7.316 -0.739 6.400
Pr -5.226 5.912 7.681
Pr 5.226 0.739 3.840
Pr 3.136 6.652 6.400
Pr 9.407 0.000 2.560
Pr 7.316 3.695 1.280
Pr -1.045 5.173 6.400
Pr 1.045 -0.739 3.840
Pr 7.316 8.130 1.280
Pr 1.045 5.912 2.560
Pr -3.136 -2.217 8.961
Pr 3.136 0.000 7.681
Pr -3.136 2.217 8.961
F -1.551 3.961 8.867
F 1.710 4.796 6.687
F -0.381 0.437 2.377
F 8.291 1.118 0.810
F -3.800 5.233 5.930
F 6.652 -0.437 2.377
F 6.042 6.167 1.567
F -1.551 -3.170 7.497
F 4.409 -1.230 9.237
F -4.110 4.794 9.431
F -2.471 6.349 7.864
F -1.862 -0.254 8.674
F 3.800 -1.116 3.553
F -0.539 6.703 4.117
F 4.409 1.484 9.677
F -4.251 9.011 3.747
F 5.732 9.082 2.743
F -2.161 3.099 6.494
F -2.161 -4.794 9.431
F 0.070 4.217 4.557
F 2.629 5.121 4.117
F 1.862 1.230 9.237
F -0.229 7.142 1.004
F 2.471 1.116 3.553
F -3.642 9.873 1.373
F 6.342 2.814 3.747
F -1.710 -0.679 4.310
F 8.590 5.658 1.567
F -4.409 0.254 8.674
F 2.020 7.608 4.557
F 8.432 -3.099 6.494
F 4.110 1.696 5.684
F 7.981 0.679 4.310
F 6.342 10.707 0.810
F 5.890 6.592 5.930
F 2.161 -1.696 5.684
F 8.900 2.743 2.743
F 1.862 -1.484 9.677
F -0.229 4.428 0.563
F 2.319 7.397 0.563
F 7.823 -3.961 8.867
F -4.720 3.170 7.497
F 4.562 5.475 7.864
F 2.319 4.683 1.004
F 4.720 -0.791 6.124
F 0.381 7.029 6.687
F 5.732 1.952 1.373
F 1.551 0.791 6.124



no.,magnetic moment (μB per atom),total energy (eV/cell),theoretical density (g/cm³)
1,2.1071,-65.2,9.88
2,0.0000,-82.5,9.74
3,0.0000,-32.2,8.94
4,0.2632,-21.4,9.26
5,0.2222,-65.4,4.64
6,1.7186,-34.5,8.64
7,0.0000,-12.8,4.89
8,0.0000,-365.3,5.30